5
Lattice="5.111 0.000 0.000 0.000 5.111 0.000 0.000 0.000 3.775" Properties=species:S:1:pos:R:3 comment="GaAuS2N PBE-GGA optimized geometry" sg="P4/mmm, No. 123" e_form_raw_ev_per_atom=1.033 polymorph_energy_kj_per_mol_atoms=4.5 magmom_total_mub_per_fu=0.0 pbc="T T T"
Ga 0.000 0.000 0.000
Au 2.555 2.555 1.887
S 0.000 2.555 1.887
S 2.555 0.000 1.887
N 2.555 2.555 0.000

5
Lattice="3.824 0.000 0.000 0.000 3.824 0.000 0.000 0.000 5.464" Properties=species:S:1:pos:R:3 comment="GaAuSN2 PBE-GGA optimized geometry" sg="P4/mmm, No. 123" e_form_raw_ev_per_atom=1.295 polymorph_energy_kj_per_mol_atoms=0.0 magmom_total_mub_per_fu=3.4 pbc="T T T"
Ga 0.000 0.000 0.000
Au 1.912 1.912 2.732
S 0.000 0.000 2.732
N 0.000 1.912 0.000
N 1.912 0.000 0.000

5
Lattice="4.057 0.000 0.000 0.000 4.057 0.000 0.000 0.000 5.374" Properties=species:S:1:pos:R:3 comment="GaAuSN2 PBE-GGA optimized geometry" sg="P4/mmm, No. 123" e_form_raw_ev_per_atom=1.571 polymorph_energy_kj_per_mol_atoms=26.6 magmom_total_mub_per_fu=3.2 pbc="T T T"
Ga 0.000 0.000 0.000
Au 2.029 2.029 2.687
S 2.029 2.029 0.000
N 0.000 2.029 2.687
N 2.029 0.000 2.687

Question: Which formula does entry 2 have?
Answer: GaAuSN2

Question: Which formula does entry 2 have?
Answer: GaAuSN2